No. 1
Here is a crystal of SbMo2H2 relaxed with PBEsol from Alexandria via LeMat-Bulk. Energies are from SCAN.

```
SbMo2H2
1.0
-0.126 -2.802 -1.575
-1.562 -1.325 2.481
-3.866 3.507 -2.646
H Mo Sb
2 2 1
direct
0.250 0.750 0.500
0.750 0.250 0.500
0.657 0.657 0.313
0.343 0.343 0.687
0.000 0.000 0.000
```

***

No. 2
Here is a crystal of TlSbMo2H relaxed with PBEsol from Alexandria via LeMat-Bulk. Energies are from SCAN.

```
TlSbMo2H
1.0
-0.397 3.086 -1.443
-1.458 -2.254 -4.419
-4.924 0.102 1.573
H Sb Tl Mo
1 1 1 2
direct
0.500 0.000 0.000
0.500 0.500 0.500
0.000 0.000 0.000
0.000 0.000 0.500
0.000 0.500 0.000
```

***

No. 3
Here is a crystal of Sc3MoH relaxed with PBEsol from Alexandria via LeMat-Bulk. Energies are from SCAN.

```
Sc3MoH
1.0
4.314 0.000 0.000
0.000 4.314 0.000
0.000 0.000 4.314
Sc H Mo
3 1 1
direct
0.000 0.000 0.500
0.500 0.000 0.000
0.000 0.500 0.000
0.000 0.000 0.000
0.500 0.500 0.500
```

***

No. 4
Here is a crystal of ScMoH3 relaxed with PBEsol from Alexandria via LeMat-Bulk. Energies are from SCAN.

```
ScMoH3
1.0
-2.893 -0.132 -1.984
-1.898 -0.860 2.825
-0.592 3.401 0.637
Sc Mo H
1 1 3
direct
0.000 0.000 0.000
0.500 0.500 0.500
0.000 0.000 0.500
0.000 0.500 0.000
0.500 0.000 0.000
```

***

Values of E_tot, in order: -113.2; -175.8; -81.1; -57.6, all in eV/cell.